The following is a DFT calculation (PBE) of an optimized crystal structure of CaV2Ir.

Geometry as POSCAR:
```
CaV2Ir
1.0
0.0000 3.1665 3.1665
3.1665 0.0000 3.1665
3.1665 3.1665 0.0000
Ca V Ir
1 2 1
Cartesian
0.0000 0.0000 0.0000
1.5833 1.5833 1.5833
4.7498 4.7498 4.7498
3.1665 3.1665 3.1665
```

Summary:
The crystal system is cubic. The spin magnetization comes out at 0.10 μB per cell. The total energy is -6.954 eV/atom. As for the space group: No. 225. Its formation energy is 0.321 eV/atom.

=====

The following is a DFT calculation (PBE) of an optimized crystal structure of Ce3YPa2N6.

Geometry as POSCAR:
```
Ce3YPa2N6
1.0
3.0517 -5.2844 0.0000
3.0517 5.2844 0.0000
-2.0369 0.0000 5.8043
Ce Y Pa N
3 1 2 6
Cartesian
0.0000 0.0000 0.0000
3.0517 1.7501 0.0000
3.0517 -1.7501 0.0000
2.0333 0.0000 2.9021
2.0333 3.5216 2.9021
2.0333 -3.5216 2.9021
0.9861 1.8128 1.5819
-0.0603 0.0000 4.2217
0.9861 -1.8128 1.5819
3.0805 1.8128 4.2224
4.1269 0.0000 1.5825
3.0805 -1.8128 4.2224
```

Summary:
The crystal system is monoclinic. The spin magnetization comes out at 0.00 μB per cell. Its formation energy (no corrections) is -1615 meV/atom. The total energy is -9.382 eV/atom. As for the space group: No. 12.

=====

The following is a DFT calculation (PBE) of an optimized crystal structure of NbAlMo3.

Geometry as POSCAR:
```
NbAlMo3
1.0
4.7387 0.0000 0.0000
0.0000 4.7387 0.0000
0.0000 0.0000 4.7387
Nb Al Mo
1 1 3
Cartesian
0.0000 0.0000 0.0000
2.3694 2.3694 2.3694
0.0000 0.0000 2.3694
0.0000 2.3694 0.0000
2.3694 0.0000 0.0000
```

Summary:
The crystal system is cubic. The spin magnetization comes out at 0.00 μB per cell. The total energy is -7.507 eV/atom. As for the space group: No. 221. Its formation energy is 1.754 eV/atom.

=====

The following is a DFT calculation (PBE) of an optimized crystal structure of Ag2PtAu4.

Geometry as POSCAR:
```
Ag2PtAu4
1.0
-2.5548 2.5548 6.7065
2.5548 -2.5548 6.7065
2.5548 2.5548 -6.7065
Ag Pt Au
2 1 4
Cartesian
0.0000 0.0000 1.3935
0.0000 0.0000 12.0194
0.0000 0.0000 6.7065
2.5548 0.0000 0.0000
0.0000 0.0000 4.0950
0.0000 2.5548 0.0000
0.0000 0.0000 9.3180
```

Summary:
The crystal system is tetragonal. The spin magnetization comes out at 0.00 μB per cell. The total energy is -2.953 eV/atom. As for the space group: No. 139. Its formation energy is 0.598 eV/atom.

=====

The following is a DFT calculation (PBE) of an optimized crystal structure of Pm4TlHg2Pd.

Geometry as POSCAR:
```
Pm4TlHg2Pd
1.0
2.6773 1.5457 8.6703
-2.6773 1.5457 8.6703
0.0000 -3.0915 8.6703
Pm Tl Hg Pd
4 1 2 1
Cartesian
0.0000 0.0000 3.0209
0.0000 0.0000 9.5863
0.0000 0.0000 16.4246
0.0000 0.0000 22.9900
0.0000 0.0000 13.0054
0.0000 0.0000 6.3157
0.0000 0.0000 19.6951
0.0000 0.0000 0.0000
```

Summary:
The crystal system is trigonal. The spin magnetization comes out at 0.00 μB per cell. The total energy is -3.908 eV/atom. As for the space group: No. 166. Its formation energy is -0.513 eV/atom.

=====

The following is a DFT calculation (PBE) of an optimized crystal structure of AcLaDy2Tm4.

Geometry as POSCAR:
```
AcLaDy2Tm4
1.0
6.2402 -3.5960 0.0000
6.2402 3.5960 0.0000
-4.1642 0.0000 11.6613
Ac La Dy Tm
2 2 4 8
Cartesian
0.0000 0.0000 0.0000
-2.0821 0.0000 5.8307
3.1201 1.7980 0.0000
3.1201 -1.7980 0.0000
1.0380 1.7980 5.8307
1.0380 -1.7980 5.8307
6.2402 0.0000 0.0000
4.1581 0.0000 5.8307
0.0174 0.0000 8.7334
2.0866 0.0000 2.9686
3.1090 1.7689 8.7180
5.2072 1.7689 2.9433
3.1090 -1.7689 8.7180
5.2072 -1.7689 2.9433
6.2297 0.0000 8.6927
8.2988 0.0000 2.9279
```

Summary:
The crystal system is monoclinic. The spin magnetization comes out at 0.00 μB per cell. The total energy is -4.474 eV/atom. As for the space group: No. 12. Its formation energy is 0.041 eV/atom.